Record 1
# BaScTe2

A relaxed structure of BaScTe2 (GGA-PBE, Alexandria).

Results
E above lowest polymorph ... 574.0 meV/atom
ΔE_f (raw) ... -0.814 eV/atom
N(E_F) ... 3.38 states/eV/f.u.
Total DFT energy (no corrections) ... -4.449 eV per atom
Total magnetic moment ... 0.902 μB/cell
SG ... No. 119

a = 7.339 Å, b = 7.339 Å, c = 7.339 Å
α = 143.58°, β = 143.58°, γ = 52.46°
Element x y z (fractional)
1 Ba 0.000 0.000 0.000
2 Sc 0.250 0.750 0.500
3 Te 0.500 0.500 0.000
4 Te 0.750 0.250 0.500

---

Record 2
# Ni3SbW

A relaxed structure of Ni3SbW (GGA-PBE, Alexandria).

Results
E above lowest polymorph ... 0.0 meV/atom
ΔE_f (raw) ... 1.200 eV/atom
N(E_F) ... 5.72 states/eV/f.u.
Total DFT energy (no corrections) ... -5.684 eV per atom
Total magnetic moment ... 0.000 μB/cell
SG ... No. 221

a = 4.564 Å, b = 4.564 Å, c = 4.564 Å
α = 90.00°, β = 90.00°, γ = 90.00°
Element x y z (fractional)
1 Ni 0.000 0.000 0.500
2 Ni 0.000 0.500 0.000
3 Ni 0.500 0.000 0.000
4 Sb 0.500 0.500 0.500
5 W 0.000 0.000 0.000

---

Record 3
# CdBrO2

A relaxed structure of CdBrO2 (GGA-PBE, Alexandria).

Results
E above lowest polymorph ... 281.6 meV/atom
ΔE_f (raw) ... -0.160 eV/atom
N(E_F) ... 1.88 states/eV/f.u.
Total DFT energy (no corrections) ... -3.286 eV per atom
Total magnetic moment ... 1.165 μB/cell
SG ... No. 62

a = 6.019 Å, b = 3.858 Å, c = 12.064 Å
α = 90.00°, β = 90.00°, γ = 90.00°
Element x y z (fractional)
1 Cd 0.011 0.250 0.114
2 Cd 0.489 0.750 0.614
3 Cd 0.511 0.250 0.386
4 Cd 0.989 0.750 0.886
5 Br 0.019 0.250 0.649
6 Br 0.481 0.750 0.149
7 Br 0.519 0.250 0.851
8 Br 0.981 0.750 0.351
9 O 0.116 0.750 0.691
10 O 0.139 0.250 0.934
11 O 0.361 0.750 0.434
12 O 0.384 0.250 0.191
13 O 0.616 0.750 0.809
14 O 0.639 0.250 0.566
15 O 0.861 0.750 0.066
16 O 0.884 0.250 0.309

---

Record 4
# TbSm3Rh

A relaxed structure of TbSm3Rh (GGA-PBE, Alexandria).

Results
E above lowest polymorph ... 212.0 meV/atom
N(E_F) ... 8.83 states/eV/f.u.
Total DFT energy (no corrections) ... -5.369 eV per atom
Total magnetic moment ... 0.675 μB/cell
SG ... No. 221

a = 5.514 Å, b = 5.514 Å, c = 5.514 Å
α = 90.00°, β = 90.00°, γ = 90.00°
Element x y z (fractional)
1 Tb 0.000 0.000 0.000
2 Sm 0.000 0.500 0.500
3 Sm 0.500 0.000 0.500
4 Sm 0.500 0.500 0.000
5 Rh 0.500 0.500 0.500

---

Record 5
# NaCd2NiAg

A relaxed structure of NaCd2NiAg (GGA-PBE, Alexandria).

Results
N(E_F) ... 1.97 states/eV/f.u.
Total DFT energy (no corrections) ... -2.205 eV per atom
Total magnetic moment ... 0.000 μB/cell
SG ... No. 123

a = 4.972 Å, b = 4.972 Å, c = 5.002 Å
α = 90.00°, β = 90.00°, γ = 90.00°
Element x y z (fractional)
1 Na 0.000 0.000 0.000
2 Cd 0.000 0.500 0.500
3 Cd 0.500 0.000 0.500
4 Ni 0.500 0.500 0.500
5 Ag 0.500 0.500 0.000

---

Record 6
# La7TbAl4

A relaxed structure of La7TbAl4 (GGA-PBE, Alexandria).

Results
N(E_F) ... 13.07 states/eV/f.u.
Total DFT energy (no corrections) ... -4.605 eV per atom
Total magnetic moment ... 0.000 μB/cell
SG ... No. 12

a = 7.634 Å, b = 7.634 Å, c = 11.029 Å
α = 121.56°, β = 121.56°, γ = 44.56°
Element x y z (fractional)
1 La 0.000 0.000 0.000
2 La 0.201 0.201 0.639
3 La 0.296 0.296 0.118
4 La 0.433 0.433 0.620
5 La 0.567 0.567 0.380
6 La 0.704 0.704 0.882
7 La 0.799 0.799 0.361
8 Tb 0.500 0.500 0.000
9 Al 0.052 0.052 0.762
10 Al 0.175 0.175 0.329
11 Al 0.825 0.825 0.671
12 Al 0.948 0.948 0.238

---

Record 7
# AgPtS2N

A relaxed structure of AgPtS2N (GGA-PBE, Alexandria).

Results
E above lowest polymorph ... 0.0 meV/atom
ΔE_f (raw) ... 0.749 eV/atom
N(E_F) ... 5.22 states/eV/f.u.
Total DFT energy (no corrections) ... -4.346 eV per atom
Total magnetic moment ... 0.004 μB/cell
SG ... No. 123

a = 5.025 Å, b = 5.025 Å, c = 3.653 Å
α = 90.00°, β = 90.00°, γ = 90.00°
Element x y z (fractional)
1 Ag 0.000 0.000 0.000
2 Pt 0.500 0.500 0.500
3 S 0.000 0.500 0.500
4 S 0.500 0.000 0.500
5 N 0.500 0.500 0.000

---

Record 8
# HfThBe2Ge2

A relaxed structure of HfThBe2Ge2 (GGA-PBE, Alexandria).

Results
N(E_F) ... 1.37 states/eV/f.u.
Total DFT energy (no corrections) ... -6.258 eV per atom
Total magnetic moment ... 0.000 μB/cell
SG ... No. 164

a = 3.862 Å, b = 3.862 Å, c = 7.947 Å
α = 90.00°, β = 90.00°, γ = 120.00°
Element x y z (fractional)
1 Hf 0.000 0.000 0.000
2 Th 0.000 0.000 0.500
3 Be 0.333 0.667 0.219
4 Be 0.667 0.333 0.781
5 Ge 0.333 0.667 0.774
6 Ge 0.667 0.333 0.226

---

no.,calculated volume (Å³ per cell)
1,138.5
2,95.1
3,280.1
4,167.6
5,123.6
6,371.9
7,92.2
8,102.6